Record 1
An optimized crystal structure of Ni2Ir3, computed with GGA-PBE.

abc: 4.0395 4.0395 5.0065
angles: 90.00 90.00 120.00
Positions (direct):
Ir (0.6667, 0.3333, 0.6444)
Ir (0.0000, 0.0000, 0.0000)
Ir (0.3333, 0.6667, 0.3556)
Ni (0.6667, 0.3333, 0.1562)
Ni (0.3333, 0.6667, 0.8438)

The calculation puts the energy above the most stable polymorph in this dataset at 269 meV/atom. The space group is No. 164. The total moment is 0.0 μB per formula unit. Its formation energy from the elements is 0.38 eV per atom.

***

Record 2
An optimized crystal structure of InCu2Os, computed with GGA-PBE.

abc: 2.7530 3.8747 5.6003
angles: 90.00 90.00 90.00
Positions (direct):
In (0.0000, 0.0000, 0.4980)
Cu (0.5000, 0.5000, 0.2280)
Cu (0.0000, 0.0000, 0.0051)
Os (0.5000, 0.5000, 0.7689)

The space group is No. 25. The total moment is 0.0 μB per formula unit. Its formation energy from the elements is 0.38 eV per atom.

***

Record 3
An optimized crystal structure of CsKSe3, computed with GGA-PBE.

abc: 6.1236 6.1236 6.1236
angles: 90.00 90.00 90.00
Site moments in Bohr magnetons follow the coordinates.
Positions (direct):
Cs (0.5000, 0.5000, 0.5000)  0.00
Se (0.5000, 0.0000, 0.0000)  0.73
Se (0.0000, 0.0000, 0.5000)  0.80
Se (0.0000, 0.5000, 0.0000)  0.81
K (0.0000, 0.0000, 0.0000)  0.03

The space group is No. 221. The total moment is 4.0 μB per formula unit. The value obtained for the formation energy (no corrections) is 0.041 eV per atom.

***

no.,N(E_F) (states/eV per atom)
1,1.3132
2,0.5483
3,1.6869